The following is a DFT calculation (SCAN) of Mn2AlIr at its PBEsol-relaxed geometry.

abc: 2.8107 4.1303 4.7661
angles: 110.11 107.15 90.00
Each line ends with the local moment (μB).
Fractional coordinates of all 4 atoms:
Ir1 0.5000 0.0000 0.0000  -0.10
Al1 0.0000 0.5000 0.0000  -0.05
Mn1 0.2503 0.2465 0.5006  2.41
Mn2 0.7497 0.7535 0.4994  2.41

Calculated formation energy: -1.62 eV/f.u.
Fermi-level density of states: 0.930 states/eV/atom
DFT total energy: -116.99 eV per cell
Crystal system: monoclinic

=====

The following is a DFT calculation (SCAN) of Mn2AlIr at its PBEsol-relaxed geometry.

abc: 2.6515 2.6515 7.0505
angles: 90.00 90.00 90.00
Each line ends with the local moment (μB).
Fractional coordinates of all 4 atoms:
Mn1 0.0000 0.0000 0.7488  2.12
Mn2 0.0000 0.0000 0.2512  2.12
Ir1 0.5000 0.5000 0.5000  -0.34
Al1 0.5000 0.5000 0.0000  -0.07

Calculated formation energy: -1.37 eV/f.u.
Fermi-level density of states: 0.675 states/eV/atom
DFT total energy: -116.73 eV per cell
Crystal system: tetragonal

=====

The following is a DFT calculation (SCAN) of Mn2AlIr at its PBEsol-relaxed geometry.

abc: 3.6214 3.6214 4.5856
angles: 113.26 113.26 90.00
Each line ends with the local moment (μB).
Fractional coordinates of all 4 atoms:
Mn1 0.7500 0.2500 0.5000  2.54
Mn2 0.2500 0.7500 0.5000  2.54
Ir1 0.0000 0.0000 0.0000  -0.09
Al1 0.5000 0.5000 0.0000  -0.07

Calculated formation energy: -1.79 eV/f.u.
Fermi-level density of states: 0.942 states/eV/atom
DFT total energy: -117.15 eV per cell
Crystal system: tetragonal

=====

The following is a DFT calculation (SCAN) of MnAl2IrSe at its PBEsol-relaxed geometry.

abc: 4.6610 4.6610 4.9042
angles: 90.00 90.00 90.00
Each line ends with the local moment (μB).
Fractional coordinates of all 5 atoms:
Ir1 0.0000 0.0000 0.0000  0.12
Mn1 0.0000 0.0000 0.5000  4.40
Se1 0.5000 0.5000 0.5000  -0.04
Al1 0.5000 0.0000 0.0000  -0.02
Al2 0.0000 0.5000 0.0000  -0.02

Fermi-level density of states: 0.385 states/eV/atom
DFT total energy: -125.57 eV per cell
Crystal system: tetragonal
Formation energy without anion corrections: -0.127 eV/atom

=====

The following is a DFT calculation (SCAN) of AlMo2Ir at its PBEsol-relaxed geometry.

abc: 3.2903 4.0388 5.0769
angles: 113.44 108.91 90.00
Fractional coordinates of all 4 atoms:
Mo1 0.2497 0.2497 0.4993
Mo2 0.7503 0.7503 0.5007
Al1 0.5000 0.0000 0.0000
Ir1 0.0000 0.5000 0.0000

Calculated formation energy: -1.84 eV/f.u.
Fermi-level density of states: 0.567 states/eV/atom
DFT total energy: -150.46 eV per cell
Crystal system: orthorhombic
Distance to the lowest polymorph of the same formula: 0 meV/atom

=====

The following is a DFT calculation (SCAN) of Al2MoIr at its PBEsol-relaxed geometry.

abc: 2.7519 4.9853 4.9853
angles: 112.50 102.75 102.75
Fractional coordinates of all 4 atoms:
Mo1 0.5000 0.0000 0.0000
Al1 0.0000 0.5000 0.0000
Al2 0.0000 0.0000 0.5000
Ir1 0.5000 0.5000 0.5000

Calculated formation energy: -1.75 eV/f.u.
Fermi-level density of states: 0.586 states/eV/atom
DFT total energy: -123.24 eV per cell
Crystal system: monoclinic

=====

The following is a DFT calculation (SCAN) of AlMo2Ir at its PBEsol-relaxed geometry.

abc: 2.7473 4.6412 4.6412
angles: 90.00 90.00 90.00
Fractional coordinates of all 4 atoms:
Al1 0.5000 0.5000 0.5000
Mo1 0.0000 0.0000 0.5000
Mo2 0.0000 0.5000 0.0000
Ir1 0.5000 0.0000 0.0000

Calculated formation energy: -0.26 eV/f.u.
Fermi-level density of states: 0.719 states/eV/atom
DFT total energy: -148.88 eV per cell
Crystal system: tetragonal
Distance to the lowest polymorph of the same formula: 395 meV/atom

=====

The following is a DFT calculation (SCAN) of AlMoIr at its PBEsol-relaxed geometry.

abc: 4.1615 4.1615 4.1615
angles: 60.00 60.00 60.00
Fractional coordinates of all 3 atoms:
Ir1 0.5000 0.5000 0.5000
Al1 0.0000 0.0000 0.0000
Mo1 0.2500 0.2500 0.2500

Calculated formation energy: -0.05 eV/f.u.
Fermi-level density of states: 0.033 states/eV/atom
DFT total energy: -113.79 eV per cell
Crystal system: cubic